[1]
VASP calculation (PBE) on an optimized crystal structure of La2SiMo.

Structure (extended XYZ):
```
4
Lattice="5.489 -1.859 0.000 5.489 1.859 0.000 -1.553 0.000 4.927" Properties=species:S:1:pos:R:3 pbc="T T T"
La 0.000 0.000 0.000
La 1.315 0.000 3.122
Si 4.311 0.000 2.378
Mo 8.648 0.000 1.204
```

Output
SG: Cm (8)

[2]
VASP calculation (PBE) on an optimized crystal structure of LaPr4Th2.

Structure (extended XYZ):
```
7
Lattice="5.789 0.000 0.000 0.000 5.740 0.000 -1.074 0.000 7.761" Properties=species:S:1:pos:R:3 pbc="T T T"
La 0.000 0.000 0.000
Pr 0.342 2.870 2.329
Pr 2.089 0.000 5.615
Pr 2.626 0.000 2.145
Pr 4.373 2.870 5.431
Th -0.537 0.000 3.880
Th 2.894 2.870 0.000
```

Output
SG: P2/m (10)
Formation energy in meV/atom: 341

[3]
VASP calculation (PBE) on an optimized crystal structure of PuGaTe2.

Structure (extended XYZ):
```
4
Lattice="3.980 0.000 0.000 0.000 3.980 0.000 0.000 0.000 6.784" Properties=species:S:1:pos:R:3 pbc="T T T"
Pu 0.000 0.000 0.000
Ga 0.000 0.000 3.392
Te 1.990 1.990 1.648
Te 1.990 1.990 5.136
```

Output
SG: P4/mmm (123)

[4]
VASP calculation (PBE) on an optimized crystal structure of Zn3InGa2.

Structure (extended XYZ):
```
12
Lattice="7.675 -2.050 0.000 7.675 2.050 0.000 -4.001 0.000 7.291" Properties=species:S:1:pos:R:3 pbc="T T T"
Zn -1.191 0.000 2.655
Zn 4.464 0.000 0.615
Zn 2.733 0.000 3.947
Zn 8.615 0.000 3.343
Zn 6.884 0.000 6.676
Zn 12.540 0.000 4.635
In 1.575 0.000 1.083
In 9.774 0.000 6.207
Ga 0.017 0.000 5.021
Ga 6.999 0.000 1.138
Ga 4.350 0.000 6.153
Ga 11.332 0.000 2.270
```

Output
SG: C2/m (12)
Formation energy in meV/atom: 80

| no. | calculated total energy (eV per atom) | calculated volume (Å³/atom) | spin magnetization (μB/atom) |
| --- | --- | --- | --- |
| 1 | -6.62 | 25.14 | 0.00 |
| 2 | -5.21 | 36.84 | 0.00 |
| 3 | -6.50 | 26.86 | 1.36 |
| 4 | -2.02 | 19.11 | 0.00 |